a) Computed, not measured: a relaxed LiPm3Au3 crystal at the PBE level of DFT.

## Properties
**ρ**: 9.690 g/cm3
**N(E_F)**: 25.7 states/eV per cell

Cell lengths 7.8145, 11.4999, 7.9099 Å; angles 90.00, 95.17, 90.00 degrees
Space group C2/m (No. 12)
Asymmetric unit:
Li: 0.2227 0.0000 0.4684 (multiplicity 4)
Pm: 0.0000 0.2677 0.5000 (multiplicity 4)
Pm: 0.0000 0.3105 0.0000 (multiplicity 4)
Pm: 0.1272 0.0000 0.8381 (multiplicity 4)
Au: 0.0201 0.5000 0.2898 (multiplicity 4)
Au: 0.2024 0.1452 0.2220 (multiplicity 8)

b) Computed, not measured: a relaxed LiPm3Au3 crystal at the PBE level of DFT.

## Properties
**ρ**: 9.866 g/cm3
**N(E_F)**: 10.1 states/eV per cell

Cell lengths 3.8544, 4.5363, 19.8851 Å; angles 90.00, 90.00, 90.00 degrees
Space group Imm2 (No. 44)
Asymmetric unit:
Li: 0.0000 0.0000 0.0000 (multiplicity 2)
Pm: 0.0000 0.0000 0.4230 (multiplicity 2)
Pm: 0.0000 0.5000 0.2501 (multiplicity 2)
Pm: 0.0000 0.5000 0.6226 (multiplicity 2)
Au: 0.0000 0.0000 0.8744 (multiplicity 2)
Au: 0.0000 0.5000 0.0756 (multiplicity 2)
Au: 0.0000 0.5000 0.7803 (multiplicity 2)

Most stable = b)

a) Computed, not measured: a relaxed LiPm2Au2 crystal at the PBE level of DFT.

## Properties
**ρ**: 9.027 g/cm3
**N(E_F)**: 8.8 states/eV per cell

Cell lengths 8.0408, 8.0408, 3.9314 Å; angles 90.00, 90.00, 90.00 degrees
Space group P4/mbm (No. 127)
Asymmetric unit:
Li: 0.0000 0.0000 0.0000 (multiplicity 2)
Pm: 0.1638 0.3362 0.5000 (multiplicity 4)
Au: 0.1356 0.6356 0.0000 (multiplicity 4)

b) Computed, not measured: a relaxed LiPm2Au2 crystal at the PBE level of DFT.

## Properties
**ρ**: 8.852 g/cm3
**N(E_F)**: 17.6 states/eV per cell

Cell lengths 7.4829, 11.8065, 5.8676 Å; angles 90.00, 90.00, 90.00 degrees
Space group Ibam (No. 72)
Asymmetric unit:
Li: 0.0000 0.0000 0.2500 (multiplicity 4)
Pm: 0.1676 0.3430 0.0000 (multiplicity 8)
Au: 0.2329 0.4005 0.5000 (multiplicity 8)

Most stable = a)